GGA-PBE Pm2PrHg2, optimized geometry; total energy = -3.22 eV/atom; volume = 31.81 Å³ per atom; formation energy = -0.244 eV/atom; density of states at the Fermi level = 1.337 states/eV per atom
1.0
5.3240 0.0000 0.0000
-2.6620 4.6107 0.0000
0.0000 0.0000 6.4800
Pm Pr Hg
2 1 2
direct
0.3333 0.6667 0.1558 Pm
0.6667 0.3333 0.8442 Pm
0.0000 0.0000 0.5000 Pr
0.3333 0.6667 0.6671 Hg
0.6667 0.3333 0.3329 Hg